Below is Ac2TeAs after structural relaxation, with properties calculated at the PBE-GGA level.

abc: 7.9522 7.9522 7.9522
angles: 90.00 90.00 90.00
Space group Fm-3m (No. 225)
Unique sites:
Ac 0.2500 0.2500 0.2500
Te 0.0000 0.0000 0.0000
As 0.0000 0.0000 0.5000

total moment: 0.0 Bohr magnetons per cell
distance to the lowest polymorph of the same formula: 290 meV per atom
formation energy from raw total energies: -1.26 eV/atom

Below is Ac3TeAs2 after structural relaxation, with properties calculated at the PBE-GGA level.

abc: 5.0300 15.0005 11.4358
angles: 90.00 90.00 90.00
Space group Cmcm (No. 63)
Unique sites:
Ac 0.0000 0.0961 0.2500
Ac 0.0000 0.3742 0.0550
Te 0.0000 0.2361 0.7500
As 0.0000 0.0000 0.0000
As 0.0000 0.4991 0.2500

total moment: 3.9 Bohr magnetons per cell
formation energy from raw total energies: -1.13 eV/atom

Below is Ac2TeAs after structural relaxation, with properties calculated at the PBE-GGA level.

abc: 4.5283 4.5283 24.1419
angles: 90.00 90.00 120.00
Space group R3m (No. 160, hexagonal axes)
Unique sites:
Ac 0.0000 0.0000 0.0000
Ac 0.0000 0.0000 0.1875
Te 0.0000 0.0000 0.7612
As 0.0000 0.0000 0.5924

total moment: 0.0 Bohr magnetons per cell
distance to the lowest polymorph of the same formula: 43 meV per atom
formation energy from raw total energies: -1.50 eV/atom

Below is AcTe3As after structural relaxation, with properties calculated at the PBE-GGA level.

abc: 7.9665 8.4588 12.5421
angles: 90.00 122.91 90.00
Space group P2_1/c (No. 14)
Unique sites:
Ac 0.2162 0.1481 0.2471
Te 0.0578 0.1876 0.9276
Te 0.2747 0.6761 0.9402
Te 0.4767 0.0066 0.8277
As 0.1707 0.5639 0.0952

total moment: 0.0 Bohr magnetons per cell
distance to the lowest polymorph of the same formula: 82 meV per atom
formation energy from raw total energies: -0.71 eV/atom

Below is Ac3Te2As after structural relaxation, with properties calculated at the PBE-GGA level.

abc: 4.6130 6.5956 14.2370
angles: 90.00 90.00 90.00
Space group Immm (No. 71)
Unique sites:
Ac 0.0000 0.0000 0.0000
Ac 0.0000 0.0000 0.3498
Te 0.0000 0.5000 0.3279
As 0.0000 0.5000 0.0000

total moment: 0.0 Bohr magnetons per cell
formation energy from raw total energies: -1.53 eV/atom

Below is Ac7Te4As4 after structural relaxation, with properties calculated at the PBE-GGA level.

abc: 16.2196 16.2196 8.0891
angles: 90.00 90.00 90.00
Space group I4/mmm (No. 139)
Unique sites:
Ac 0.0000 0.0000 0.2446
Ac 0.0000 0.2816 0.0000
Ac 0.0000 0.3663 0.5000
Ac 0.2104 0.2104 0.5000
Te 0.0000 0.1680 0.5000
Te 0.1254 0.1254 0.0000
As 0.1461 0.3539 0.2500

total moment: 3.1 Bohr magnetons per cell
formation energy from raw total energies: -1.40 eV/atom

Below is Ac2TeAs after structural relaxation, with properties calculated at the PBE-GGA level.

abc: 4.4347 4.4347 30.5072
angles: 90.00 90.00 120.00
Space group R-3m (No. 166, hexagonal axes)
Unique sites:
Ac 0.0000 0.0000 0.0962
Te 0.0000 0.0000 0.5000
As 0.0000 0.0000 0.0000

total moment: 1.0 Bohr magnetons per cell
distance to the lowest polymorph of the same formula: 1010 meV per atom
formation energy from raw total energies: -0.54 eV/atom

Below is Ac5Te4As after structural relaxation, with properties calculated at the PBE-GGA level.

abc: 4.6883 4.6883 33.3665
angles: 90.00 90.00 90.00
Space group I4/mmm (No. 139)
Unique sites:
Ac 0.0000 0.0000 0.0000
Ac 0.0000 0.0000 0.2041
Ac 0.0000 0.0000 0.4075
Te 0.0000 0.0000 0.1017
Te 0.0000 0.0000 0.3047
As 0.0000 0.0000 0.5000

total moment: 0.0 Bohr magnetons per cell
formation energy from raw total energies: -1.51 eV/atom

Below is Ac6Te5As after structural relaxation, with properties calculated at the PBE-GGA level.

abc: 8.1529 14.1182 8.1441
angles: 90.00 109.43 90.00
Space group C2/m (No. 12)
Unique sites:
Ac 0.2341 0.0000 0.2582
Ac 0.2359 0.1577 0.7357
Te 0.0000 0.1735 0.0000
Te 0.0000 0.3347 0.5000
Te 0.0000 0.5000 0.0000
As 0.0000 0.0000 0.5000

total moment: 0.0 Bohr magnetons per cell
formation energy from raw total energies: -1.52 eV/atom

Below is Ac2Te4As after structural relaxation, with properties calculated at the PBE-GGA level.

abc: 11.9436 4.4766 10.4614
angles: 90.00 122.24 90.00
Space group C2/m (No. 12)
Unique sites:
Ac 0.0019 0.0000 0.1929
Te 0.1568 0.5000 0.5073
Te 0.1761 0.5000 0.0982
As 0.0000 0.0000 0.5000

total moment: 0.0 Bohr magnetons per cell
formation energy from raw total energies: -1.01 eV/atom

Below is AcTe3As after structural relaxation, with properties calculated at the PBE-GGA level.

abc: 9.0844 4.5074 15.4456
angles: 90.00 90.00 90.00
Space group Pnma (No. 62)
Unique sites:
Ac 0.1000 0.2500 0.1697
Te 0.0202 0.7500 0.6171
Te 0.1497 0.7500 0.0017
Te 0.1842 0.2500 0.7861
As 0.1581 0.7500 0.4431

total moment: 0.0 Bohr magnetons per cell
distance to the lowest polymorph of the same formula: 0 meV per atom
formation energy from raw total energies: -0.79 eV/atom

Below is AcThTeAs after structural relaxation, with properties calculated at the PBE-GGA level.

abc: 4.3639 4.3639 23.5710
angles: 90.00 90.00 120.00
Space group R3m (No. 160, hexagonal axes)
Unique sites:
Ac 0.0000 0.0000 0.0000
Th 0.0000 0.0000 0.8106
Te 0.0000 0.0000 0.2324
As 0.0000 0.0000 0.4120

total moment: 0.0 Bohr magnetons per cell
formation energy from raw total energies: -1.37 eV/atom

Below is Ac4TlTe2As after structural relaxation, with properties calculated at the PBE-GGA level.

abc: 8.2299 4.6377 8.2634
angles: 90.00 108.71 90.00
Space group P2/m (No. 10)
Unique sites:
Ac 0.2360 0.0000 0.2281
Ac 0.2474 0.5000 0.7618
Tl 0.5000 0.0000 0.0000
Te 0.0000 0.0000 0.5000
Te 0.5000 0.5000 0.5000
As 0.0000 0.5000 0.0000

total moment: 0.0 Bohr magnetons per cell
formation energy from raw total energies: -1.21 eV/atom

Below is AcTmTeAs after structural relaxation, with properties calculated at the PBE-GGA level.

abc: 4.2832 4.2832 23.2542
angles: 90.00 90.00 120.00
Space group R3m (No. 160, hexagonal axes)
Unique sites:
Ac 0.0000 0.0000 0.0000
Tm 0.0000 0.0000 0.1888
Te 0.0000 0.0000 0.4351
As 0.0000 0.0000 0.5864

total moment: 0.0 Bohr magnetons per cell
formation energy from raw total energies: -1.39 eV/atom

Below is Ac5ThAs6 after structural relaxation, with properties calculated at the PBE-GGA level.

abc: 7.7857 13.4767 7.7820
angles: 90.00 109.50 90.00
Space group C2/m (No. 12)
Unique sites:
Ac 0.0000 0.0000 0.0000
Ac 0.0000 0.1659 0.5000
Ac 0.0000 0.3313 0.0000
Th 0.0000 0.5000 0.5000
As 0.2387 0.5000 0.2570
As 0.2406 0.3398 0.7417

total moment: 0.0 Bohr magnetons per cell
DFT formation energy: -1.475 eV/atom

Below is Ac5Th3As8 after structural relaxation, with properties calculated at the PBE-GGA level.

abc: 8.8393 8.8393 21.7591
angles: 90.00 90.00 120.00
Space group R-3m (No. 166, hexagonal axes)
Unique sites:
Ac 0.0000 0.0000 0.0000
Ac 0.0000 0.0000 0.5000
Ac 0.0000 0.5000 0.0000
Th 0.0000 0.5000 0.5000
As 0.0000 0.0000 0.2434
As 0.0098 0.5049 0.7548

total moment: 0.0 Bohr magnetons per cell
DFT formation energy: -1.450 eV/atom

Below is AcThAs2 after structural relaxation, with properties calculated at the PBE-GGA level.

abc: 4.3405 4.3405 14.6306
angles: 90.00 90.00 120.00
Space group P6_3/mmc (No. 194)
Unique sites:
Ac 0.3333 0.6667 0.2500
Th 0.0000 0.0000 0.0000
As 0.3333 0.6667 0.6140

total moment: 0.0 Bohr magnetons per cell
distance to the lowest polymorph of the same formula: 21 meV per atom
DFT formation energy: -1.418 eV/atom

Below is Ac2ThAs3 after structural relaxation, with properties calculated at the PBE-GGA level.

abc: 8.8825 12.5559 26.6163
angles: 90.00 90.00 90.00
Space group Fddd (No. 70, origin choice 2)
Unique sites:
Ac 0.1250 0.1250 0.0429
Ac 0.1250 0.1250 0.3735
Th 0.1250 0.1250 0.5415
As 0.1087 0.3750 0.8750
As 0.1171 0.3674 0.7111

total moment: 0.0 Bohr magnetons per cell
DFT formation energy: -1.460 eV/atom

Below is AcThAs2 after structural relaxation, with properties calculated at the PBE-GGA level.

abc: 5.3180 5.3180 3.7370
angles: 90.00 90.00 90.00
Space group P4/mmm (No. 123)
Unique sites:
Ac 0.0000 0.0000 0.0000
Th 0.5000 0.5000 0.0000
As 0.0000 0.5000 0.5000

total moment: 0.0 Bohr magnetons per cell
distance to the lowest polymorph of the same formula: 381 meV per atom
DFT formation energy: -1.059 eV/atom

Below is AcTh3As4 after structural relaxation, with properties calculated at the PBE-GGA level.

abc: 4.3031 4.3031 28.4086
angles: 90.00 90.00 120.00
Space group P6_3/mmc (No. 194)
Unique sites:
Ac 0.3333 0.6667 0.2500
Th 0.0000 0.0000 0.0000
Th 0.3333 0.6667 0.6205
As 0.0000 0.0000 0.1799
As 0.3333 0.6667 0.0604

total moment: 0.0 Bohr magnetons per cell
DFT formation energy: -1.404 eV/atom

Below is Ac4ThAs5 after structural relaxation, with properties calculated at the PBE-GGA level.

abc: 10.0199 10.0199 6.3407
angles: 90.00 90.00 90.00
Space group I4/m (No. 87)
Unique sites:
Ac 0.0977 0.6996 0.0000
Th 0.0000 0.0000 0.5000
As 0.0000 0.0000 0.0000
As 0.0958 0.7127 0.5000

total moment: 0.0 Bohr magnetons per cell
DFT formation energy: -1.466 eV/atom